The following is a PBE calculation of crystalline GdZrTcRu at its relaxed geometry, from Alexandria via LeMat-Bulk.

Computed properties:
Space-group type: F-43m
Energy of formation from the pure elements in meV per atom: -211

```
GdZrTcRu
1.0
4.742 0.000 0.000
2.371 4.107 0.000
2.371 1.369 3.872
Ru Tc Gd Zr
1 1 1 1
direct
0.250 0.250 0.250
0.750 0.750 0.750
0.000 0.000 0.000
0.500 0.500 0.500
```

---

The following is a PBE calculation of crystalline CaRuN3 at its relaxed geometry, from Alexandria via LeMat-Bulk.

Computed properties:
Space-group type: Pm-3m
Formation energy (no corrections) in eV per atom: 2.688

```
CaRuN3
1.0
4.063 0.000 0.000
0.000 4.063 0.000
0.000 0.000 4.063
Ru N Ca
1 3 1
direct
0.500 0.500 0.500
0.500 0.000 0.000
0.000 0.500 0.000
0.000 0.000 0.500
0.000 0.000 0.000
```